{
  "formula": "Al3CrMo",
  "functional": "PBE",
  "state": "relaxed",
  "cell": [[4.483, 0.000, 0.000], [0.000, 4.483, 0.000], [0.000, 0.000, 4.483]],
  "species": ["Al", "Al", "Al", "Cr", "Mo"],
  "frac_coords": [[0.000, 0.000, 0.500], [0.000, 0.500, 0.000], [0.500, 0.000, 0.000], [0.000, 0.000, 0.000], [0.500, 0.500, 0.500]],
  "volume_a3_per_cell": 90.1,
  "total_magnetization_mub_per_cell": 2.043,
  "relative_energy_mev_per_atom": 0
}